MgZrCr2Sn: optimized geometry, PBE.

Properties
For the calculated volume, the calculation gives 141 Å³ per cell. For the total moment, the calculation gives 7.9 Bohr magnetons per cell. The mass density is 3.992 g/cm3. As for the space group: P4/mmm, No. 123. The formation enthalpy at 0 K comes out at 1.091 eV/atom. The value obtained for the density of states at the Fermi level is 5.83 states/eV/cell.

The structure in POSCAR format:
```
MgZrCr2Sn
1.0
5.0945 0.0000 0.0000
0.0000 5.0945 0.0000
0.0000 0.0000 5.4212
Mg Zr Cr Sn
1 1 2 1
Direct
0.0000 0.0000 0.0000
0.5000 0.5000 0.0000
0.0000 0.5000 0.5000
0.5000 0.0000 0.5000
0.5000 0.5000 0.5000
```